Entry 1:
PaZnGa2: optimized geometry, PBE.

The structure in POSCAR format:
```
PaZnGa2
1.0
5.659 0.000 0.000
0.000 9.369 0.000
0.000 0.000 2.975
Pa Zn Ga
2 2 4
Direct
0.000 0.000 0.000
0.500 0.500 0.000
0.000 0.500 0.500
0.500 0.000 0.500
0.250 0.250 0.500
0.250 0.750 0.500
0.750 0.250 0.500
0.750 0.750 0.500
```

Values from the calculation:
Electronic total energy = -4.41 eV/atom
Space-group type = Cmmm



Entry 2:
Ca2ZrSi: optimized geometry, PBE.

The structure in POSCAR format:
```
Ca2ZrSi
1.0
3.833 0.000 0.000
0.000 5.187 0.000
0.000 0.000 10.926
Ca Zr Si
4 2 2
Direct
0.000 0.000 0.000
0.000 0.500 0.199
0.500 0.000 0.699
0.500 0.500 0.500
0.000 0.000 0.396
0.500 0.500 0.896
0.000 0.500 0.728
0.500 0.000 0.228
```

Values from the calculation:
Electronic total energy = -4.54 eV/atom
Space-group type = Imm2
Energy relative to the elements, uncorrected = -0.044 eV/atom



Entry 3:
AgW2: optimized geometry, PBE.

The structure in POSCAR format:
```
AgW2
1.0
6.371 0.000 0.000
0.000 6.371 0.000
0.000 0.000 5.089
Ag W
4 8
Direct
0.000 0.000 0.250
0.000 0.000 0.750
0.500 0.500 0.250
0.500 0.500 0.750
0.134 0.366 0.000
0.134 0.634 0.500
0.366 0.134 0.500
0.366 0.866 0.000
0.634 0.134 0.000
0.634 0.866 0.500
0.866 0.366 0.500
0.866 0.634 0.000
```

Values from the calculation:
Electronic total energy = -8.60 eV/atom
Space-group type = I4/mcm



Entry 4:
HfTi2PdN: optimized geometry, PBE.

The structure in POSCAR format:
```
HfTi2PdN
1.0
4.115 0.000 0.000
0.000 4.115 0.000
0.000 0.000 4.403
Hf Ti Pd N
1 2 1 1
Direct
0.000 0.000 0.000
0.000 0.500 0.500
0.500 0.000 0.500
0.500 0.500 0.000
0.000 0.000 0.500
```

Values from the calculation:
Electronic total energy = -8.86 eV/atom
Space-group type = P4/mmm
Energy relative to the elements, uncorrected = -1.012 eV/atom



Entry 5:
K3Sn4Pt: optimized geometry, PBE.

The structure in POSCAR format:
```
K3Sn4Pt
1.0
6.480 0.000 0.000
0.000 13.282 0.000
0.000 0.000 6.483
K Sn Pt
6 8 2
Direct
0.250 0.004 0.182
0.250 0.496 0.182
0.250 0.750 0.522
0.750 0.250 0.478
0.750 0.504 0.818
0.750 0.996 0.818
0.004 0.250 0.987
0.250 0.131 0.670
0.250 0.369 0.670
0.496 0.250 0.987
0.504 0.750 0.013
0.750 0.631 0.330
0.750 0.869 0.330
0.996 0.750 0.013
0.250 0.250 0.330
0.750 0.750 0.670
```

Values from the calculation:
Electronic total energy = -3.50 eV/atom
Space-group type = Pmmn



Entry 6:
LiGaCl4: optimized geometry, PBE.

The structure in POSCAR format:
```
LiGaCl4
1.0
6.905 0.000 0.000
0.000 6.905 0.000
0.000 0.000 8.993
Li Ga Cl
2 2 8
Direct
0.000 0.000 0.000
0.000 0.000 0.500
0.000 0.500 0.000
0.500 0.000 0.500
0.231 0.266 0.000
0.231 0.734 0.000
0.266 0.231 0.500
0.266 0.769 0.500
0.734 0.231 0.500
0.734 0.769 0.500
0.769 0.266 0.000
0.769 0.734 0.000
```

Values from the calculation:
Electronic total energy = -3.21 eV/atom
Space-group type = P4_2/mmc
Energy relative to the elements, uncorrected = -1.156 eV/atom



Entry 7:
Cr2TcMo: optimized geometry, PBE.

The structure in POSCAR format:
```
Cr2TcMo
1.0
4.240 0.000 0.000
0.000 4.240 0.000
0.000 0.000 2.998
Cr Tc Mo
2 1 1
Direct
0.000 0.500 0.000
0.500 0.000 0.000
0.000 0.000 0.500
0.500 0.500 0.500
```

Values from the calculation:
Electronic total energy = -10.05 eV/atom
Space-group type = P4/mmm



Entry 8:
CaSnRh3: optimized geometry, PBE.

The structure in POSCAR format:
```
CaSnRh3
1.0
4.891 0.000 0.000
0.000 4.891 0.000
0.000 0.000 4.891
Ca Sn Rh
1 1 3
Direct
0.000 0.000 0.000
0.500 0.500 0.500
0.000 0.500 0.500
0.500 0.000 0.500
0.500 0.500 0.000
```

Values from the calculation:
Electronic total energy = -5.29 eV/atom
Space-group type = Pm-3m



Entry 9:
SbAsAu2: optimized geometry, PBE.

The structure in POSCAR format:
```
SbAsAu2
1.0
5.549 0.000 0.000
0.000 5.549 0.000
0.000 0.000 5.759
Sb As Au
2 2 4
Direct
0.000 0.000 0.000
0.500 0.500 0.500
0.000 0.000 0.500
0.500 0.500 0.000
0.000 0.500 0.000
0.000 0.500 0.500
0.500 0.000 0.000
0.500 0.000 0.500
```

Values from the calculation:
Electronic total energy = -3.79 eV/atom
Space-group type = I4/mmm
Energy relative to the elements, uncorrected = 0.045 eV/atom



Entry 10:
PuBeAl2Au4: optimized geometry, PBE.

The structure in POSCAR format:
```
PuBeAl2Au4
1.0
2.188 1.263 8.824
-2.188 1.263 8.824
0.000 -2.527 8.824
Pu Be Al Au
1 1 2 4
Direct
0.000 0.000 0.000
0.500 0.500 0.500
0.242 0.242 0.242
0.758 0.758 0.758
0.138 0.138 0.138
0.402 0.402 0.402
0.598 0.598 0.598
0.862 0.862 0.862
```

Values from the calculation:
Electronic total energy = -5.17 eV/atom
Space-group type = R-3m



Entry 11:
LiZr2Tl: optimized geometry, PBE.

The structure in POSCAR format:
```
LiZr2Tl
1.0
3.390 0.000 0.000
0.000 4.319 0.000
0.000 0.000 5.794
Li Zr Tl
1 2 1
Direct
0.000 0.000 0.000
0.500 0.500 0.246
0.500 0.500 0.754
0.000 0.000 0.500
```

Values from the calculation:
Electronic total energy = -5.28 eV/atom
Space-group type = Pmmm



Entry 12:
GaSbTe: optimized geometry, PBE.

The structure in POSCAR format:
```
GaSbTe
1.0
3.633 0.000 0.000
-1.816 3.146 0.000
0.000 0.000 7.767
Ga Sb Te
1 1 1
Direct
0.000 0.000 0.000
0.333 0.667 0.737
0.667 0.333 0.231
```

Values from the calculation:
Electronic total energy = -3.33 eV/atom
Space-group type = P3m1
Energy relative to the elements, uncorrected = 0.101 eV/atom



Repeat the eleventh record exactly.
LiZr2Tl: optimized geometry, PBE.

The structure in POSCAR format:
```
LiZr2Tl
1.0
3.390 0.000 0.000
0.000 4.319 0.000
0.000 0.000 5.794
Li Zr Tl
1 2 1
Direct
0.000 0.000 0.000
0.500 0.500 0.246
0.500 0.500 0.754
0.000 0.000 0.500
```

Values from the calculation:
Electronic total energy = -5.28 eV/atom
Space-group type = Pmmm